Record 1
Fe2TcBr8 (PBE, optimized geometry); crystal system = monoclinic; density of states at the Fermi level = 0.551 states/eV/atom; raw formation energy = -9.35 kcal/mol of atoms; energy = -4.103 eV/atom
1.0
-1.1009 2.7794 5.4545
-7.7527 -1.9026 -0.4960
-0.5320 -7.1137 3.6169
Br Tc Fe
8 1 2
direct
0.2250 0.2738 0.8887
0.7750 0.7262 0.1113
0.7620 0.1682 0.1682
0.2380 0.8318 0.8318
0.7052 0.6459 0.6459
0.7750 0.1113 0.7262
0.2250 0.8887 0.2738
0.2948 0.3541 0.3541
0.0000 0.0000 0.0000
0.6321 0.8248 0.8248
0.3679 0.1752 0.1752



Record 2
Fe2TcBr (PBE, optimized geometry); crystal system = monoclinic; polymorph energy (0 for the lowest one) = 0.00 eV per formula unit; density of states at the Fermi level = 1.061 states/eV/atom; raw formation energy = 9.58 kcal/mol of atoms; energy = -6.826 eV/atom
1.0
3.0093 0.0000 0.0000
0.0000 3.0592 0.1838
0.0000 2.6343 7.1638
Fe Br Tc
2 1 1
direct
0.5000 0.3760 0.2486
0.0000 0.0626 0.0617
0.5000 0.3751 0.7510
0.0000 0.6864 0.4387



Record 3
Fe2TcBr (PBE, optimized geometry); crystal system = monoclinic; polymorph energy (0 for the lowest one) = 0.63 eV per formula unit; density of states at the Fermi level = 1.267 states/eV/atom; raw formation energy = 13.24 kcal/mol of atoms; energy = -6.667 eV/atom
1.0
-3.6746 1.2055 -0.2288
-2.8557 -0.4521 -2.5785
-2.4754 -5.6009 3.0885
Tc Fe Br
1 2 1
direct
0.5345 0.5345 0.5798
0.0831 0.0831 0.9142
0.7993 0.7993 0.7362
0.0831 0.0831 0.2698



Record 4
Fe2TcBr (PBE, optimized geometry); crystal system = orthorhombic; polymorph energy (0 for the lowest one) = 0.30 eV per formula unit; density of states at the Fermi level = 1.225 states/eV/atom; raw formation energy = 11.31 kcal/mol of atoms; energy = -6.751 eV/atom
1.0
-0.2824 -2.9689 0.2310
1.2246 0.0986 2.7640
-6.5946 0.8521 2.8888
Fe Tc Br
2 1 1
direct
0.0000 0.7503 0.4566
0.0000 0.7497 0.0434
0.5000 0.2500 0.2500
0.5000 0.7500 0.7500